Nd6Ge3S2I (PBE, relaxed); mass density = 6.3 g/cm³; total magnetization = 0.000 μB per atom; crystal system = monoclinic; formation energy without anion corrections = -1.282 eV/atom; raw total energy = -5.638 eV/atom; space group = C2/m
1.0
-2.717 3.190 0.895
-6.443 -5.660 0.611
4.632 -1.249 8.255
I Nd Ge S
1 6 3 2
direct
0.500 0.000 0.000
0.997 0.724 0.995
0.333 0.414 0.666
0.677 0.089 0.354
0.003 0.276 0.005
0.667 0.586 0.334
0.323 0.911 0.646
0.838 0.167 0.675
0.500 0.500 0.000
0.162 0.833 0.325
0.169 0.335 0.337
0.831 0.665 0.663